Version one
Compound: Cr2B2Br
Source: Alexandria via LeMat-Bulk
Functional: PBE
Structure: optimized geometry

Cell and atoms, written as POSCAR:
```
Cr2B2Br
1.0
-4.850 3.096 -1.793
-0.203 -3.255 -5.069
-1.707 -1.921 1.302
Cr Br B
4 2 4
direct
0.173 0.673 0.500
0.827 0.327 0.500
0.327 0.173 0.500
0.673 0.827 0.500
0.500 0.500 0.000
0.000 0.000 0.000
0.901 0.599 0.000
0.099 0.401 0.000
0.599 0.099 0.000
0.401 0.901 0.000
```

V ... 10.47 Å³/atom
Symmetry ... P4/mbm
Total magnetic moment ... 0.00 μB per atom

---

Version two
Compound: Cr2B2Br
Source: Alexandria via LeMat-Bulk
Functional: PBE
Structure: optimized geometry

Cell and atoms, written as POSCAR:
```
Cr2B2Br
1.0
3.972 0.000 0.000
0.000 3.972 0.000
1.986 1.986 3.558
Cr B Br
2 2 1
direct
0.250 0.750 0.500
0.750 0.250 0.500
0.379 0.379 0.243
0.621 0.621 0.757
0.000 0.000 0.000
```

V ... 11.23 Å³/atom
Symmetry ... I4/mmm
Total magnetic moment ... 0.00 μB per atom

---

Which one sits at the bottom of the stability order? version two does.